Material: Sc3MoCl2O6
Method: DFT, PBE+U
State: optimized geometry

Cell: 6.2930 6.2930 5.3101 Å, 100.17 100.17 58.82°
Last column: nearest neighbours and their distance in Å.
Positions (direct):
Sc: 0.0000 0.0000 0.0000  4 O 2.21
Sc: 0.0000 0.5000 0.5000  4 O 2.02-2.15
Sc: 0.5000 0.0000 0.5000  4 O 2.02-2.15
Mo: 0.5000 0.5000 0.5000  6 O 2.01-2.07
Cl: 0.1983 0.1983 0.8311  3 Sc 2.49-2.51, 1 O 2.70
Cl: 0.8017 0.8017 0.1689  3 Sc 2.49-2.51, 1 O 2.70
O: 0.1960 0.6818 0.7126  1 Mo 2.07, 2 Sc 2.15-2.21
O: 0.3182 0.8040 0.2874  1 Mo 2.07, 2 Sc 2.15-2.21
O: 0.3190 0.3190 0.3283  1 Mo 2.01, 2 Sc 2.02
O: 0.6810 0.6810 0.6717  1 Mo 2.01, 2 Sc 2.02
O: 0.6818 0.1960 0.7126  1 Mo 2.07, 2 Sc 2.15-2.21
O: 0.8040 0.3182 0.2874  1 Mo 2.07, 2 Sc 2.15-2.21

Calculated values
Density = 3.748 g/cm³
Space-group type = C2/m, No. 12
Spin magnetization = 1.00 Bohr magnetons per cell
V = 176 Å³/cell

---

Material: Mo3Se2ClO8
Method: DFT, PBE+U
State: optimized geometry

Cell: 7.0750 7.3215 10.9454 Å, 82.40 86.95 89.74°
Last column: nearest neighbours and their distance in Å.
Positions (direct):
Mo: 0.0000 0.0000 0.0000  4 O 2.06-2.09
Mo: 0.0000 0.0000 0.5000  4 O 2.13-2.14
Mo: 0.2395 0.1895 0.2330  4 O 2.08-2.17
Mo: 0.5000 0.0000 0.0000  4 O 2.06
Mo: 0.5000 0.0000 0.5000  4 O 2.02-2.09
Mo: 0.7605 0.8105 0.7670  4 O 2.08-2.17
Se: 0.2542 0.4083 0.4908  3 O 1.73-1.75
Se: 0.2633 0.3854 0.9286  3 O 1.73-1.75
Se: 0.7367 0.6146 0.0714  3 O 1.73-1.75
Se: 0.7458 0.5917 0.5092  3 O 1.73-1.75
Cl: 0.1065 0.8673 0.7160  2 Mo 2.51-2.58
Cl: 0.8935 0.1327 0.2840  2 Mo 2.51-2.58
O: 0.0396 0.2840 0.9587  1 Se 1.75
O: 0.0550 0.2747 0.5348  1 Se 1.73
O: 0.2425 0.9987 0.0970  3 Mo 2.06-2.17
O: 0.2675 0.0159 0.3997  3 Mo 2.02-2.13
O: 0.2783 0.4099 0.3316  1 Se 1.74
O: 0.3379 0.3800 0.0771  1 Se 1.73
O: 0.3907 0.2037 0.8752  1 Se 1.75
O: 0.4410 0.2656 0.5412  1 Se 1.75
O: 0.5590 0.7344 0.4588  1 Se 1.75
O: 0.6093 0.7963 0.1248  1 Se 1.75
O: 0.6621 0.6200 0.9229  1 Se 1.73
O: 0.7217 0.5901 0.6684  1 Se 1.74
O: 0.7325 0.9841 0.6003  3 Mo 2.02-2.13
O: 0.7575 0.0013 0.9030  3 Mo 2.06-2.17
O: 0.9450 0.7253 0.4652  1 Se 1.73
O: 0.9604 0.7160 0.0413  1 Se 1.75

Calculated values
Density = 3.605 g/cm³
Space-group type = P-1, No. 2
Spin magnetization = 18.00 Bohr magnetons per cell
V = 561 Å³/cell

---

Material: Sm3MoCl2O6
Method: DFT, PBE+U
State: optimized geometry

Cell: 6.7508 6.7508 5.5713 Å, 98.55 98.55 59.58°
Last column: nearest neighbours and their distance in Å.
Positions (direct):
Sm: 0.0000 0.0000 0.0000  4 O 2.44, 2 Cl 2.71
Sm: 0.0000 0.5000 0.5000  4 O 2.26-2.32
Sm: 0.5000 0.0000 0.5000  4 O 2.26-2.32
Mo: 0.5000 0.5000 0.5000  6 O 1.95-2.13
Cl: 0.2109 0.2109 0.8616  3 Sm 2.71-2.72, 1 O 2.79
Cl: 0.7891 0.7891 0.1384  3 Sm 2.71-2.72, 1 O 2.79
O: 0.2025 0.6792 0.7003  1 Mo 2.13, 1 Sm 2.32
O: 0.3208 0.7975 0.2997  1 Mo 2.13, 1 Sm 2.32
O: 0.3393 0.3393 0.3328  1 Mo 1.95
O: 0.6607 0.6607 0.6672  1 Mo 1.95
O: 0.6792 0.2025 0.7003  1 Mo 2.13, 1 Sm 2.32
O: 0.7975 0.3208 0.2997  1 Mo 2.13, 1 Sm 2.32

Calculated values
Density = 5.496 g/cm³
Space-group type = C2/m, No. 12
Spin magnetization = 1.00 Bohr magnetons per cell
V = 216 Å³/cell

---

Material: TaMoClO2
Method: DFT, PBE+U
State: optimized geometry

Cell: 4.2292 4.2292 4.5504 Å, 90.00 90.00 90.00°
Last column: nearest neighbours and their distance in Å.
Positions (direct):
Ta: 0.0000 0.0000 0.0000  2 Cl 2.28
Mo: 0.5000 0.5000 0.0000  4 Ta 2.99, 8 O 3.11
Cl: 0.0000 0.0000 0.5000  4 O 2.11, 2 Ta 2.28
O: 0.0000 0.5000 0.5000  2 Cl 2.11
O: 0.5000 0.0000 0.5000  2 Cl 2.11

Calculated values
Density = 7.025 g/cm³
Space-group type = P4/mmm, No. 123
Spin magnetization = 2.59 Bohr magnetons per cell
V = 81 Å³/cell

---

So what do the calculations give for energy? Going down the list: -7.385; -6.014; -6.929; -4.885 eV/atom.